Computed, not measured: a relaxed CsBaPa4N8 crystal at the PBE level of DFT.

Computed properties:
Symmetry: R3m
Raw total energy (eV/atom): -8.90

Unit cell a=7.1474 b=7.1474 c=8.1252 alpha=63.91 beta=63.91 gamma=60.00
Closest atoms and distances in Å follow each position.
Sites, in units of the cell vectors:
Cs 0.3541 0.3541 0.9377  4 N 2.92-3.09
Ba 0.9912 0.9912 0.0264  3 N 2.74
Pa 0.5297 0.5297 0.4108  6 N 2.32-2.33
Pa 0.0047 0.5074 0.4831  6 N 2.26-2.34
Pa 0.5074 0.0047 0.4831  6 N 2.26-2.34
Pa 0.0047 0.0047 0.4831  6 N 2.26-2.34
N 0.3121 0.7815 0.5942  3 Pa 2.27-2.32
N 0.7815 0.3121 0.5942  3 Pa 2.27-2.32
N 0.3121 0.3121 0.5942  3 Pa 2.27-2.32
N 0.2153 0.2153 0.3542  3 Pa 2.26
N 0.7433 0.2065 0.3068  3 Pa 2.33-2.34
N 0.2065 0.7433 0.3068  3 Pa 2.33-2.34
N 0.7433 0.7433 0.3068  3 Pa 2.33-2.34
N 0.7939 0.7939 0.6183  3 Pa 2.26

***

Computed, not measured: a relaxed Gd2ErO crystal at the PBE level of DFT.

Computed properties:
Energy above the most stable polymorph in this dataset (eV/atom): 0.000
Symmetry: R-3m

Unit cell a=3.5667 b=3.5667 c=8.9847 alpha=78.55 beta=78.55 gamma=60.00
Closest atoms and distances in Å follow each position.
Sites, in units of the cell vectors:
Gd 0.2805 0.2805 0.1586  3 O 2.48
Gd 0.7195 0.7195 0.8414  3 O 2.48
O 0.0000 0.0000 0.0000  6 Gd 2.48
Er 0.5000 0.5000 0.5000  6 Er 3.57, 6 Gd 3.63

***

Computed, not measured: a relaxed AgSnH2Br crystal at the PBE level of DFT.

Computed properties:
Symmetry: P4/mmm
Raw total energy (eV/atom): -2.47

Unit cell a=3.9719 b=6.1962 c=3.9719 alpha=90.00 beta=90.00 gamma=90.00
Closest atoms and distances in Å follow each position.
Sites, in units of the cell vectors:
H 0.0000 0.0000 0.5000  2 Br 1.99
H 0.5000 0.0000 0.0000  2 Br 1.99
Br 0.0000 0.0000 0.0000  4 H 1.99
Sn 0.0000 0.5000 0.0000  4 Ag 2.81, 2 Br 3.10
Ag 0.5000 0.5000 0.5000  4 Sn 2.81

***

Computed, not measured: a relaxed CaSiPt crystal at the PBE level of DFT.

Computed properties:
Symmetry: F-43m
Raw total energy (eV/atom): -4.99

Unit cell a=4.5008 b=4.5008 c=4.5008 alpha=60.00 beta=60.00 gamma=60.00
Closest atoms and distances in Å follow each position.
Sites, in units of the cell vectors:
Ca 0.5000 0.5000 0.5000  4 Pt 2.76
Pt 0.7500 0.7500 0.7500  4 Si 2.76, 4 Ca 2.76
Si 0.0000 0.0000 0.0000  4 Pt 2.76

***

Computed, not measured: a relaxed YTc2GeTe crystal at the PBE level of DFT.

Computed properties:
Symmetry: P4/mmm
Raw total energy (eV/atom): -5.98

Unit cell a=4.8578 b=5.2977 c=4.8578 alpha=90.00 beta=90.00 gamma=90.00
Closest atoms and distances in Å follow each position.
Sites, in units of the cell vectors:
Y 0.5000 0.5000 0.5000  4 Ge 3.43, 8 Tc 3.59
Ge 0.0000 0.5000 0.0000  2 Te 2.65
Te 0.0000 0.0000 0.0000  4 Tc 2.43, 2 Ge 2.65
Tc 0.0000 0.0000 0.5000  2 Te 2.43
Tc 0.5000 0.0000 0.0000  2 Te 2.43

***

Computed, not measured: a relaxed Zr2TcMo crystal at the PBE level of DFT.

Computed properties:
DFT formation energy (eV per atom): -0.026
Symmetry: F-43m

Unit cell a=4.6713 b=4.6713 c=4.6713 alpha=60.00 beta=60.00 gamma=60.00
Closest atoms and distances in Å follow each position.
Sites, in units of the cell vectors:
Mo 0.5000 0.5000 0.5000  4 Zr 2.86, 4 Tc 2.86
Tc 0.7500 0.7500 0.7500  4 Zr 2.86, 4 Mo 2.86
Zr 0.0000 0.0000 0.0000  4 Zr 2.86, 4 Tc 2.86
Zr 0.2500 0.2500 0.2500  4 Zr 2.86, 4 Mo 2.86

***

Computed, not measured: a relaxed Y2S2I crystal at the PBE level of DFT.

Computed properties:
Symmetry: Immm
Raw total energy (eV/atom): -6.31

Unit cell a=4.2530 b=5.4119 c=7.3865 alpha=111.49 beta=106.73 gamma=90.00
Closest atoms and distances in Å follow each position.
Sites, in units of the cell vectors:
Y 0.6917 0.1917 0.3834  4 S 2.68-2.71
Y 0.3083 0.8083 0.6166  4 S 2.68-2.71
S 0.3167 0.3167 0.6333  4 Y 2.68-2.71
S 0.6833 0.6833 0.3667  4 Y 2.68-2.71
I 0.0000 0.0000 0.0000  4 Y 3.29

***

Computed, not measured: a relaxed La2Pm4ErTm crystal at the PBE level of DFT.

Computed properties:
DFT formation energy (eV per atom): 0.373
Symmetry: C2/c

Unit cell a=9.6021 b=9.6021 c=11.9658 alpha=128.38 beta=128.38 gamma=88.31
Closest atoms and distances in Å follow each position.
Sites, in units of the cell vectors:
La 0.5000 0.0000 0.0000  6 Pm 3.40-3.53, 2 Er 3.45
La 0.5000 0.0000 0.5000  6 Pm 3.40-3.53, 2 Er 3.45
La 0.0000 0.0000 0.5000  6 Pm 3.38-3.63, 2 La 3.45
La 0.5000 0.5000 0.0000  6 Pm 3.38-3.63, 2 La 3.45
Pm 0.2421 0.7533 0.9925  1 Tm 3.27, 3 La 3.40-3.53, 2 Er 3.40-3.49, 2 Pm 3.42-3.49
Pm 0.7467 0.2580 0.5075  1 Tm 3.27, 3 La 3.40-3.53, 2 Er 3.40-3.49, 2 Pm 3.42-3.49
Pm 0.2533 0.7420 0.4925  1 Tm 3.27, 3 La 3.40-3.53, 2 Er 3.40-3.49, 2 Pm 3.42-3.49
Pm 0.7580 0.2467 0.0075  1 Tm 3.27, 3 La 3.40-3.53, 2 Er 3.40-3.49, 2 Pm 3.42-3.49
Pm 0.7199 0.7131 0.9626  1 Er 3.31, 2 Tm 3.31-3.53, 3 La 3.38-3.63, 2 Pm 3.45
Pm 0.7869 0.7801 0.5374  1 Er 3.31, 2 Tm 3.31-3.53, 3 La 3.38-3.63, 2 Pm 3.45
Pm 0.2131 0.2199 0.4626  1 Er 3.31, 2 Tm 3.31-3.53, 3 La 3.38-3.63, 2 Pm 3.45
Pm 0.2801 0.2869 0.0374  1 Er 3.31, 2 Tm 3.31-3.53, 3 La 3.38-3.63, 2 Pm 3.45
Er 0.0000 0.5000 0.0000  6 Pm 3.31-3.49, 2 La 3.45
Er 0.0000 0.5000 0.5000  6 Pm 3.31-3.49, 2 La 3.45
Tm 0.5000 0.5000 0.5000  6 Pm 3.27-3.53, 2 Tm 3.45
Tm 0.0000 0.0000 0.0000  6 Pm 3.27-3.53, 2 Tm 3.45

***

Computed, not measured: a relaxed Tb2Al5Ir3 crystal at the PBE level of DFT.

Computed properties:
DFT formation energy (eV per atom): -0.830
Symmetry: Cmc2_1

Unit cell a=4.2738 b=6.8077 c=12.6148 alpha=90.00 beta=99.75 gamma=90.00
Closest atoms and distances in Å follow each position.
Sites, in units of the cell vectors:
Tb 0.4775 0.7812 0.9549  3 Ir 2.74-2.96
Tb 0.1759 0.7095 0.3518  4 Ir 2.97-3.20, 9 Al 3.04-3.17
Tb 0.8241 0.2095 0.6482  4 Ir 2.97-3.20, 9 Al 3.04-3.17
Tb 0.5225 0.2812 0.0451  3 Ir 2.74-2.96
Al 0.4010 0.4051 0.8021  3 Ir 2.56-2.58
Al 0.2873 0.4979 0.5747  3 Ir 2.54-2.55, 1 Al 2.69
Al 0.7127 0.9979 0.4253  3 Ir 2.54-2.55, 1 Al 2.69
Al 0.1276 0.2512 0.2553  2 Ir 2.53-2.64
Al 0.2934 0.8922 0.5868  4 Ir 2.58-2.61, 1 Al 2.69
Al 0.9449 0.1120 0.8897  4 Ir 2.60-2.69
Al 0.7066 0.3922 0.4132  4 Ir 2.58-2.61, 1 Al 2.69
Al 0.8724 0.7512 0.7447  2 Ir 2.53-2.64
Al 0.0551 0.6120 0.1103  4 Ir 2.60-2.69
Al 0.5990 0.9051 0.1979  3 Ir 2.56-2.58
Ir 0.7717 0.6925 0.5435  7 Al 2.53-2.61
Ir 0.6098 0.5280 0.2196  6 Al 2.58-2.88, 1 Tb 2.74
Ir 0.0481 0.9952 0.0962  5 Al 2.56-2.69
Ir 0.2283 0.1925 0.4565  7 Al 2.53-2.61
Ir 0.9519 0.4952 0.9038  5 Al 2.56-2.69
Ir 0.3902 0.0280 0.7804  6 Al 2.58-2.88, 1 Tb 2.74

***

Computed, not measured: a relaxed AlZn2B crystal at the PBE level of DFT.

Computed properties:
DFT formation energy (eV per atom): 0.798
Energy above the most stable polymorph in this dataset (eV/atom): 0.220
Symmetry: Fm-3m

Unit cell a=4.2931 b=4.2931 c=4.2931 alpha=60.00 beta=60.00 gamma=60.00
Closest atoms and distances in Å follow each position.
Sites, in units of the cell vectors:
Zn 0.2500 0.2500 0.2500  4 Al 2.63, 4 B 2.63
Zn 0.7500 0.7500 0.7500  4 B 2.63, 4 Al 2.63
B 0.0000 0.0000 0.0000  8 Zn 2.63
Al 0.5000 0.5000 0.5000  8 Zn 2.63

***

Computed, not measured: a relaxed YCo2Br crystal at the PBE level of DFT.

Computed properties:
Energy above the most stable polymorph in this dataset (eV/atom): 0.795
Symmetry: Fm-3m

Unit cell a=4.6304 b=4.6304 c=4.6304 alpha=60.00 beta=60.00 gamma=60.00
Closest atoms and distances in Å follow each position.
Sites, in units of the cell vectors:
Y 0.5000 0.5000 0.5000  8 Co 2.84
Co 0.2500 0.2500 0.2500  4 Br 2.84, 4 Y 2.84
Co 0.7500 0.7500 0.7500  4 Br 2.84, 4 Y 2.84
Br 0.0000 0.0000 0.0000  8 Co 2.84

***

Computed, not measured: a relaxed CePm6Dy3Er2 crystal at the PBE level of DFT.

Computed properties:
DFT formation energy (eV per atom): 0.037
Symmetry: C2/m

Unit cell a=6.2313 b=6.2313 c=11.8653 alpha=95.03 beta=95.03 gamma=120.01
Closest atoms and distances in Å follow each position.
Sites, in units of the cell vectors:
Ce 0.0000 0.0000 0.0000  6 Pm 3.57, 6 Er 3.60
Pm 0.9172 0.5857 0.7507  1 Ce 3.57, 6 Pm 3.58-3.61, 2 Er 3.58, 3 Dy 3.59
Pm 0.7513 0.7513 0.2493  1 Ce 3.57, 6 Pm 3.58-3.61, 2 Er 3.58, 3 Dy 3.59-3.60
Pm 0.0828 0.4143 0.2493  1 Ce 3.57, 6 Pm 3.58-3.61, 2 Er 3.58, 3 Dy 3.59
Pm 0.5857 0.9172 0.7507  1 Ce 3.57, 6 Pm 3.58-3.61, 2 Er 3.58, 3 Dy 3.59
Pm 0.2487 0.2487 0.7507  1 Ce 3.57, 6 Pm 3.58-3.61, 2 Er 3.58, 3 Dy 3.59-3.60
Pm 0.4143 0.0828 0.2493  1 Ce 3.57, 6 Pm 3.58-3.61, 2 Er 3.58, 3 Dy 3.59
Dy 0.1673 0.8327 0.5000  6 Pm 3.59, 6 Dy 3.59-3.61
Dy 0.8327 0.1673 0.5000  6 Pm 3.59, 6 Dy 3.59-3.61
Dy 0.5000 0.5000 0.5000  6 Pm 3.59-3.60, 6 Dy 3.59-3.60
Er 0.3335 0.6665 0.0000  6 Pm 3.58, 3 Er 3.59-3.60, 3 Ce 3.60
Er 0.6665 0.3335 0.0000  6 Pm 3.58, 3 Er 3.59-3.60, 3 Ce 3.60